# 1
## Sb2MoPb (GGA-PBEsol)

Data for a relaxed structure of Sb2MoPb.

The structure in POSCAR format:
```
Sb2MoPb
1.0
0.000 3.544 3.544
3.544 0.000 3.544
3.544 3.544 0.000
Sb Mo Pb
2 1 1
Cartesian
0.000 0.000 0.000 Sb
1.772 1.772 1.772 Sb
3.544 3.544 3.544 Mo
5.316 5.316 5.316 Pb
```

Values from the calculation:
M_tot = 0.01 Bohr magnetons per cell
Formation energy without anion corrections = 0.72 eV per atom
Space group = F-43m (216)

***

# 2
## Re3CO (GGA-PBEsol)

Data for a relaxed structure of Re3CO.

The structure in POSCAR format:
```
Re3CO
1.0
4.004 0.000 0.000
0.000 4.004 0.000
0.000 0.000 4.004
Re C O
3 1 1
Cartesian
0.000 0.000 2.002 Re
0.000 2.002 0.000 Re
2.002 0.000 0.000 Re
0.000 0.000 0.000 C
2.002 2.002 2.002 O
```

Values from the calculation:
M_tot = 0.18 Bohr magnetons per cell
Formation energy without anion corrections = 1.19 eV per atom
Space group = Pm-3m (221)